Here is a relaxed structure of AcTbWN4 from the Alexandria database. Energies are from PBE.

Summary:
Crystal system: orthorhombic
ΔE_f (raw) in eV/atom: -1.029
Size of the total moment in μB/f.u.: 0.0
ρ in g/cm3: 10.2

a = 6.9984 Å, b = 6.9984 Å, c = 5.6600 Å
α = 90.00°, β = 90.00°, γ = 132.62°
Element x y z (fractional)
Ac (0.1053, 0.8947, 0.7500)
Ac (0.8947, 0.1053, 0.2500)
Tb (0.3979, 0.6021, 0.7500)
Tb (0.6021, 0.3979, 0.2500)
W (0.2448, 0.7552, 0.2500)
W (0.7552, 0.2448, 0.7500)
N (0.0000, 0.5000, 0.0000)
N (0.0000, 0.5000, 0.5000)
N (0.0917, 0.9083, 0.2500)
N (0.4226, 0.5774, 0.2500)
N (0.5000, 0.0000, 0.0000)
N (0.5000, 0.0000, 0.5000)
N (0.5774, 0.4226, 0.7500)
N (0.9083, 0.0917, 0.7500)


Here is a relaxed structure of NaV2Cr from the Alexandria database. Energies are from PBE.

Summary:
Crystal system: cubic
Energy of formation in meV/atom: 931
Size of the total moment in μB/f.u.: 0.0
ρ in g/cm3: 5.1
Excess energy over the best structure of this formula in the dataset in meV/atom: 0

a = 4.3320 Å, b = 4.3320 Å, c = 4.3320 Å
α = 60.00°, β = 60.00°, γ = 60.00°
Element x y z (fractional)
Na (0.0000, 0.0000, 0.0000)
V (0.2500, 0.2500, 0.2500)
V (0.7500, 0.7500, 0.7500)
Cr (0.5000, 0.5000, 0.5000)


Here is a relaxed structure of CaAg3F8 from the Alexandria database. Energies are from PBE.

Summary:
Crystal system: trigonal
ΔE_f (raw) in eV/atom: -1.529
Size of the total moment in μB/f.u.: 3.0
ρ in g/cm3: 4.8

a = 5.6418 Å, b = 5.6418 Å, c = 6.4505 Å
α = 90.00°, β = 90.00°, γ = 120.00°
Element x y z (fractional)
Ca (0.0000, 0.0000, 0.0000)
Ag (0.0000, 0.0000, 0.5000)
Ag (0.3333, 0.6667, 0.6312)
Ag (0.6667, 0.3333, 0.3688)
F (0.0825, 0.3227, 0.2883)
F (0.2402, 0.9175, 0.2883)
F (0.3227, 0.2402, 0.7117)
F (0.3333, 0.6667, 0.9525)
F (0.6667, 0.3333, 0.0475)
F (0.6773, 0.7598, 0.2883)
F (0.7598, 0.0825, 0.7117)
F (0.9175, 0.6773, 0.7117)


Here is a relaxed structure of KHfB from the Alexandria database. Energies are from PBE.

Summary:
Crystal system: tetragonal
Energy of formation in meV/atom: 322
Size of the total moment in μB/f.u.: 0.0
ρ in g/cm3: 4.2
Excess energy over the best structure of this formula in the dataset in meV/atom: 391

a = 4.4146 Å, b = 4.4146 Å, c = 9.1963 Å
α = 90.00°, β = 90.00°, γ = 90.00°
Element x y z (fractional)
K (0.2500, 0.2500, 0.1854)
K (0.7500, 0.7500, 0.8146)
Hf (0.2500, 0.2500, 0.5725)
Hf (0.7500, 0.7500, 0.4275)
B (0.2500, 0.7500, 0.5000)
B (0.7500, 0.2500, 0.5000)


Here is a relaxed structure of ZrTlN2F from the Alexandria database. Energies are from PBE.

Summary:
Crystal system: tetragonal
ΔE_f (raw) in eV/atom: 0.641
Size of the total moment in μB/f.u.: 0.2
ρ in g/cm3: 7.4
Excess energy over the best structure of this formula in the dataset in meV/atom: 1313

a = 4.2646 Å, b = 4.2646 Å, c = 4.2060 Å
α = 90.00°, β = 90.00°, γ = 90.00°
Element x y z (fractional)
Zr (0.0000, 0.0000, 0.0000)
Tl (0.5000, 0.5000, 0.5000)
N (0.0000, 0.5000, 0.5000)
N (0.5000, 0.0000, 0.5000)
F (0.5000, 0.5000, 0.0000)


Here is a relaxed structure of KWCl from the Alexandria database. Energies are from PBE.

Summary:
Crystal system: trigonal
ΔE_f (raw) in eV/atom: 0.666
Size of the total moment in μB/f.u.: 0.2
ρ in g/cm3: 6.9
Excess energy over the best structure of this formula in the dataset in meV/atom: 0

a = 3.1052 Å, b = 3.1052 Å, c = 7.4733 Å
α = 90.00°, β = 90.00°, γ = 120.00°
Element x y z (fractional)
K (0.0000, 0.0000, 0.0000)
W (0.6667, 0.3333, 0.3941)
Cl (0.3333, 0.6667, 0.6406)


Here is a relaxed structure of CdWSe2 from the Alexandria database. Energies are from PBE.

Summary:
Crystal system: orthorhombic
ΔE_f (raw) in eV/atom: 0.254
Size of the total moment in μB/f.u.: 0.0
ρ in g/cm3: 9.4

a = 5.0447 Å, b = 4.8778 Å, c = 4.8778 Å
α = 42.10°, β = 90.00°, γ = 90.00°
Element x y z (fractional)
Cd (0.0000, 0.0000, 0.0000)
W (0.5000, 0.6283, 0.6283)
Se (0.0000, 0.7164, 0.7164)
Se (0.5000, 0.3339, 0.3339)


Here is a relaxed structure of Ba3Se from the Alexandria database. Energies are from PBE.

Summary:
Crystal system: orthorhombic
ΔE_f (raw) in eV/atom: -0.834
Size of the total moment in μB/f.u.: 0.1
ρ in g/cm3: 3.8
Excess energy over the best structure of this formula in the dataset in meV/atom: 90

a = 7.8461 Å, b = 7.8461 Å, c = 7.8461 Å
α = 148.10°, β = 68.26°, γ = 121.43°
Element x y z (fractional)
Ba (0.0000, 0.0000, 0.0000)
Ba (0.3060, 0.4786, 0.8273)
Ba (0.6513, 0.4786, 0.1727)
Se (0.3220, 0.8220, 0.5000)


Here is a relaxed structure of Ce2NdDy3Se6 from the Alexandria database. Energies are from PBE.

Summary:
Crystal system: monoclinic
ΔE_f (raw) in eV/atom: -1.800
Size of the total moment in μB/f.u.: 1.9
ρ in g/cm3: 7.6

a = 7.1297 Å, b = 7.1297 Å, c = 7.2608 Å
α = 99.41°, β = 99.41°, γ = 120.07°
Element x y z (fractional)
Ce (0.1666, 0.8334, 0.0000)
Ce (0.8334, 0.1666, 0.0000)
Nd (0.5000, 0.5000, 0.0000)
Dy (0.0000, 0.0000, 0.5000)
Dy (0.3364, 0.6636, 0.5000)
Dy (0.6636, 0.3364, 0.5000)
Se (0.0767, 0.4122, 0.7367)
Se (0.2514, 0.2514, 0.2608)
Se (0.4122, 0.0767, 0.7367)
Se (0.5878, 0.9233, 0.2633)
Se (0.7486, 0.7486, 0.7392)
Se (0.9233, 0.5878, 0.2633)


Here is a relaxed structure of Eu2AlHg from the Alexandria database. Energies are from PBE.

Summary:
Crystal system: cubic
Energy of formation in meV/atom: -362
Size of the total moment in μB/f.u.: 13.9
ρ in g/cm3: 7.7
Excess energy over the best structure of this formula in the dataset in meV/atom: 18

a = 5.4521 Å, b = 5.4521 Å, c = 5.4521 Å
α = 60.00°, β = 60.00°, γ = 60.00°
Element x y z (fractional)
Eu (0.2500, 0.2500, 0.2500)
Eu (0.7500, 0.7500, 0.7500)
Al (0.0000, 0.0000, 0.0000)
Hg (0.5000, 0.5000, 0.5000)


Here is a relaxed structure of PdS3N from the Alexandria database. Energies are from PBE.

Summary:
Crystal system: cubic
ΔE_f (raw) in eV/atom: 1.192
Size of the total moment in μB/f.u.: 0.0
ρ in g/cm3: 5.2
Excess energy over the best structure of this formula in the dataset in meV/atom: 0

a = 4.1173 Å, b = 4.1173 Å, c = 4.1173 Å
α = 90.00°, β = 90.00°, γ = 90.00°
Element x y z (fractional)
Pd (0.0000, 0.0000, 0.0000)
S (0.0000, 0.5000, 0.5000)
S (0.5000, 0.0000, 0.5000)
S (0.5000, 0.5000, 0.0000)
N (0.5000, 0.5000, 0.5000)


Here is a relaxed structure of BaAcEu3 from the Alexandria database. Energies are from PBE.

Summary:
Crystal system: cubic
Energy of formation in meV/atom: 565
Size of the total moment in μB/f.u.: 21.5
ρ in g/cm3: 5.1

a = 6.4575 Å, b = 6.4575 Å, c = 6.4575 Å
α = 90.00°, β = 90.00°, γ = 90.00°
Element x y z (fractional)
Ba (0.0000, 0.0000, 0.0000)
Ac (0.5000, 0.5000, 0.5000)
Eu (0.0000, 0.5000, 0.5000)
Eu (0.5000, 0.0000, 0.5000)
Eu (0.5000, 0.5000, 0.0000)


Here is a relaxed structure of Cr2Si from the Alexandria database. Energies are from PBE.

Summary:
Crystal system: hexagonal
ΔE_f (raw) in eV/atom: -0.175
Size of the total moment in μB/f.u.: 0.7
ρ in g/cm3: 6.0

a = 6.6275 Å, b = 6.6275 Å, c = 2.8861 Å
α = 90.00°, β = 90.00°, γ = 120.00°
Element x y z (fractional)
Cr (0.0000, 0.2737, 0.0000)
Cr (0.0000, 0.6091, 0.5000)
Cr (0.2737, 0.0000, 0.0000)
Cr (0.3909, 0.3909, 0.5000)
Cr (0.6091, 0.0000, 0.5000)
Cr (0.7263, 0.7263, 0.0000)
Si (0.0000, 0.0000, 0.5000)
Si (0.3333, 0.6667, 0.0000)
Si (0.6667, 0.3333, 0.0000)


Here is a relaxed structure of Tb4ThSi4 from the Alexandria database. Energies are from PBE.

Summary:
Crystal system: tetragonal
ΔE_f (raw) in eV/atom: -0.410
Size of the total moment in μB/f.u.: 0.0
ρ in g/cm3: 6.8

a = 9.1159 Å, b = 9.1159 Å, c = 5.7762 Å
α = 90.00°, β = 90.00°, γ = 90.00°
Element x y z (fractional)
Tb (0.0795, 0.6557, 0.1301)
Tb (0.1557, 0.9205, 0.6301)
Tb (0.3443, 0.5795, 0.6301)
Tb (0.4205, 0.8443, 0.1301)
Tb (0.5795, 0.1557, 0.8699)
Tb (0.6557, 0.4205, 0.3699)
Tb (0.8443, 0.0795, 0.3699)
Tb (0.9205, 0.3443, 0.8699)
Th (0.2500, 0.2500, 0.2500)
Th (0.7500, 0.7500, 0.7500)
Si (0.0289, 0.6087, 0.6270)
Si (0.1087, 0.9711, 0.1270)
Si (0.3913, 0.5289, 0.1270)
Si (0.4711, 0.8913, 0.6270)
Si (0.5289, 0.1087, 0.3730)
Si (0.6087, 0.4711, 0.8730)
Si (0.8913, 0.0289, 0.8730)
Si (0.9711, 0.3913, 0.3730)


Here is a relaxed structure of Li7Mg4Tl from the Alexandria database. Energies are from PBE.

Summary:
Crystal system: trigonal
Energy of formation in meV/atom: -93
Size of the total moment in μB/f.u.: 0.0
ρ in g/cm3: 2.4
Excess energy over the best structure of this formula in the dataset in meV/atom: 0

a = 4.8383 Å, b = 4.8383 Å, c = 11.7533 Å
α = 90.00°, β = 90.00°, γ = 120.00°
Element x y z (fractional)
Li (0.0000, 0.0000, 0.0000)
Li (0.0000, 0.0000, 0.2466)
Li (0.0000, 0.0000, 0.7534)
Li (0.3333, 0.6667, 0.1733)
Li (0.3333, 0.6667, 0.4194)
Li (0.6667, 0.3333, 0.5806)
Li (0.6667, 0.3333, 0.8267)
Mg (0.3333, 0.6667, 0.6647)
Mg (0.3333, 0.6667, 0.9224)
Mg (0.6667, 0.3333, 0.0776)
Mg (0.6667, 0.3333, 0.3353)
Tl (0.0000, 0.0000, 0.5000)


Here is a relaxed structure of CdPt from the Alexandria database. Energies are from PBE.

Summary:
Crystal system: tetragonal
Energy of formation in meV/atom: 17
Size of the total moment in μB/f.u.: 0.0
ρ in g/cm3: 12.8

a = 5.3909 Å, b = 5.3909 Å, c = 5.5035 Å
α = 90.00°, β = 90.00°, γ = 90.00°
Element x y z (fractional)
Cd (0.1905, 0.1905, 0.0000)
Cd (0.3095, 0.6905, 0.5000)
Cd (0.6905, 0.3095, 0.5000)
Cd (0.8095, 0.8095, 0.0000)
Pt (0.1823, 0.1823, 0.5000)
Pt (0.3177, 0.6823, 0.0000)
Pt (0.6823, 0.3177, 0.0000)
Pt (0.8177, 0.8177, 0.5000)


Here is a relaxed structure of KReSi2 from the Alexandria database. Energies are from PBE.

Summary:
Crystal system: orthorhombic
ΔE_f (raw) in eV/atom: 1.246
Size of the total moment in μB/f.u.: 0.0
ρ in g/cm3: 6.4
Excess energy over the best structure of this formula in the dataset in meV/atom: 1170

a = 2.7317 Å, b = 4.7190 Å, c = 5.7096 Å
α = 90.00°, β = 90.00°, γ = 90.00°
Element x y z (fractional)
K (0.0000, 0.0000, 0.0000)
Re (0.5000, 0.0000, 0.5000)
Si (0.0000, 0.5000, 0.5000)
Si (0.5000, 0.5000, 0.0000)


Here is a relaxed structure of Tm8CoCu2 from the Alexandria database. Energies are from PBE.

Summary:
Crystal system: monoclinic
Energy of formation in meV/atom: -95
Size of the total moment in μB/f.u.: 0.0
ρ in g/cm3: 9.3
Excess energy over the best structure of this formula in the dataset in meV/atom: 41

a = 9.0525 Å, b = 9.0525 Å, c = 5.5302 Å
α = 100.43°, β = 100.43°, γ = 136.16°
Element x y z (fractional)
Tm (0.0000, 0.0000, 0.0000)
Tm (0.1592, 0.9279, 0.5475)
Tm (0.3449, 0.5759, 0.3041)
Tm (0.5027, 0.5027, 0.8508)
Tm (0.5468, 0.9561, 0.9256)
Tm (0.5759, 0.3449, 0.3041)
Tm (0.9279, 0.1592, 0.5475)
Tm (0.9561, 0.5468, 0.9256)
Co (0.7523, 0.7523, 0.4246)
Cu (0.0061, 0.4974, 0.4256)
Cu (0.4974, 0.0061, 0.4256)


Here is a relaxed structure of Zr2MnPb from the Alexandria database. Energies are from PBE.

Summary:
Crystal system: monoclinic
Energy of formation in meV/atom: -77
Size of the total moment in μB/f.u.: 0.0
ρ in g/cm3: 9.0

a = 3.1858 Å, b = 3.1859 Å, c = 8.1164 Å
α = 90.00°, β = 90.00°, γ = 90.00°
Element x y z (fractional)
Zr (0.0042, 0.0000, 0.3073)
Zr (0.9958, 0.0000, 0.6927)
Mn (0.5000, 0.5000, 0.5000)
Pb (0.5000, 0.5000, 0.0000)


Here is a relaxed structure of HoEr2Pu from the Alexandria database. Energies are from PBE.

Summary:
Crystal system: tetragonal
Energy of formation in meV/atom: 134
Size of the total moment in μB/f.u.: 6.3
ρ in g/cm3: 10.3
Excess energy over the best structure of this formula in the dataset in meV/atom: 48

a = 4.9268 Å, b = 4.9268 Å, c = 4.9268 Å
α = 90.00°, β = 90.00°, γ = 90.00°
Element x y z (fractional)
Ho (0.0000, 0.0000, 0.0000)
Er (0.0000, 0.5000, 0.5000)
Er (0.5000, 0.0000, 0.5000)
Pu (0.5000, 0.5000, 0.0000)